# Tb3DySb2 (PBE, optimized geometry)
# E_tot: -5.262 eV/atom
# Uncorrected formation energy: -0.8061 eV per atom
# Energy relative to the lowest polymorph listed for this composition: 0.0 kJ/mol of atoms
# Crystal system: tetragonal
# Calculated volume: 28.504 Å³/atom
# Total magnetization: 0.000 μB/atom
data_Tb3DySb2
_chemical_formula_sum 'Tb3 Dy1 Sb2'
_space_group_name_H-M_alt 'P -4 m 2'
_space_group_IT_number 115
_space_group_name_Hall 'P -4 -2'
_cell_length_a 4.481
_cell_length_b 4.481
_cell_length_c 8.516
_cell_angle_alpha 90.00
_cell_angle_beta 90.00
_cell_angle_gamma 90.00
loop_
_atom_site_label
_atom_site_type_symbol
_atom_site_fract_x
_atom_site_fract_y
_atom_site_fract_z
Tb1 Tb 0.000 0.000 0.000
Tb2 Tb 0.000 0.500 0.649
Dy1 Dy 0.500 0.500 0.000
Sb1 Sb 0.000 0.500 0.280